TlPd | PBE-GGA | relaxed

## Properties
DOS(E_F)   4.5 states/eV/cell
Total moment   0.00 μB/f.u.
ρ   7.156 g/cm³
Final energy   -29.44 eV/cell
V   288.48 Å³ per cell
Crystal system   cubic

Unit cell a=7.210 b=7.210 c=7.210 alpha=109.47 beta=109.47 gamma=109.47
Atoms (fractional coordinates):
Tl: 0.000 0.000 0.401
Tl: 0.000 0.401 0.000
Tl: 0.401 0.000 0.000
Tl: 0.599 0.599 0.599
Pd: 0.000 0.000 0.766
Pd: 0.000 0.766 0.000
Pd: 0.234 0.234 0.234
Pd: 0.766 0.000 0.000